(1)
# PBE Bi2Sb2Se, optimized geometry
# - ΔE to the lowest computed polymorph (meV per atom) = 27
# - DOS at the Fermi energy (states/eV/cell) = 7.58
# - total magnetic moment (μB/f.u.) = 0.0
# - total DFT energy (no corrections) (eV/atom) = -3.709
# - uncorrected formation energy (meV per atom) = 189.5
# - space group = P4/mbm (127)
data_Bi2Sb2Se
_cell_length_a 8.321
_cell_length_b 8.321
_cell_length_c 4.324
_cell_angle_alpha 90.00
_cell_angle_beta 90.00
_cell_angle_gamma 90.00
_symmetry_space_group_name_H-M 'P 1'
_symmetry_Int_Tables_number 1
_symmetry_space_group_name_Hall 'P 1'
loop_
_atom_site_label
_atom_site_fract_x
_atom_site_fract_y
_atom_site_fract_z
Bi1 0.141 0.359 0.000
Bi2 0.359 0.859 0.000
Bi3 0.641 0.141 0.000
Bi4 0.859 0.641 0.000
Sb1 0.174 0.674 0.500
Sb2 0.326 0.174 0.500
Sb3 0.674 0.826 0.500
Sb4 0.826 0.326 0.500
Se1 0.000 0.000 0.500
Se2 0.500 0.500 0.500

***

(2)
# PBE Ac3Ni3Ge2, optimized geometry
# - DOS at the Fermi energy (states/eV/cell) = 13.76
# - total magnetic moment (μB/f.u.) = 0.0
# - total DFT energy (no corrections) (eV/atom) = -5.349
# - space group = Cmcm (63)
data_Ac3Ni3Ge2
_cell_length_a 5.932
_cell_length_b 5.932
_cell_length_c 16.288
_cell_angle_alpha 90.00
_cell_angle_beta 90.00
_cell_angle_gamma 137.23
_symmetry_space_group_name_H-M 'P 1'
_symmetry_Int_Tables_number 1
_symmetry_space_group_name_Hall 'P 1'
loop_
_atom_site_label
_atom_site_fract_x
_atom_site_fract_y
_atom_site_fract_z
Ac1 0.045 0.955 0.750
Ac2 0.355 0.645 0.582
Ac3 0.355 0.645 0.918
Ac4 0.645 0.355 0.082
Ac5 0.645 0.355 0.418
Ac6 0.955 0.045 0.250
Ni1 0.070 0.930 0.560
Ni2 0.070 0.930 0.940
Ni3 0.255 0.745 0.250
Ni4 0.745 0.255 0.750
Ni5 0.930 0.070 0.060
Ni6 0.930 0.070 0.440
Ge1 0.356 0.644 0.117
Ge2 0.356 0.644 0.383
Ge3 0.644 0.356 0.617
Ge4 0.644 0.356 0.883

***

(3)
# PBE Li5GeAu6, optimized geometry
# - ΔE to the lowest computed polymorph (meV per atom) = 5
# - DOS at the Fermi energy (states/eV/cell) = 2.72
# - total magnetic moment (μB/f.u.) = 0.0
# - total DFT energy (no corrections) (eV/atom) = -3.288
# - space group = C2/m (12)
data_Li5GeAu6
_cell_length_a 7.177
_cell_length_b 7.177
_cell_length_c 6.126
_cell_angle_alpha 90.14
_cell_angle_beta 90.14
_cell_angle_gamma 143.16
_symmetry_space_group_name_H-M 'P 1'
_symmetry_Int_Tables_number 1
_symmetry_space_group_name_Hall 'P 1'
loop_
_atom_site_label
_atom_site_fract_x
_atom_site_fract_y
_atom_site_fract_z
Li1 0.000 0.000 0.000
Li2 0.334 0.666 0.000
Li3 0.335 0.665 0.500
Li4 0.665 0.335 0.500
Li5 0.666 0.334 0.000
Ge1 0.000 0.000 0.500
Au1 0.171 0.829 0.247
Au2 0.171 0.829 0.753
Au3 0.498 0.498 0.761
Au4 0.502 0.502 0.239
Au5 0.829 0.171 0.247
Au6 0.829 0.171 0.753

***

Which value of total magnetic moment does entry 2 give? 0.0 μB/f.u.

***

The lowest total DFT energy (no corrections) belongs to which entry? Ac3Ni3Ge2

***

Please write out number 3 again, unchanged.
# PBE Li5GeAu6, optimized geometry
# - ΔE to the lowest computed polymorph (meV per atom) = 5
# - DOS at the Fermi energy (states/eV/cell) = 2.72
# - total magnetic moment (μB/f.u.) = 0.0
# - total DFT energy (no corrections) (eV/atom) = -3.288
# - space group = C2/m (12)
data_Li5GeAu6
_cell_length_a 7.177
_cell_length_b 7.177
_cell_length_c 6.126
_cell_angle_alpha 90.14
_cell_angle_beta 90.14
_cell_angle_gamma 143.16
_symmetry_space_group_name_H-M 'P 1'
_symmetry_Int_Tables_number 1
_symmetry_space_group_name_Hall 'P 1'
loop_
_atom_site_label
_atom_site_fract_x
_atom_site_fract_y
_atom_site_fract_z
Li1 0.000 0.000 0.000
Li2 0.334 0.666 0.000
Li3 0.335 0.665 0.500
Li4 0.665 0.335 0.500
Li5 0.666 0.334 0.000
Ge1 0.000 0.000 0.500
Au1 0.171 0.829 0.247
Au2 0.171 0.829 0.753
Au3 0.498 0.498 0.761
Au4 0.502 0.502 0.239
Au5 0.829 0.171 0.247
Au6 0.829 0.171 0.753